1.
First-principles (PBE) data for a relaxed TbBiN2O crystal, as listed in OQMD via LeMat-Bulk.

## Properties
SG = P6_3cm, No. 185
calculated volume = 15.62 A^3/atom
density = 8.756 Mg/m³
uncorrected energy = -6.6249 eV per atom
size of the total moment = 0.00 μB per cell

Lattice parameters (Å, degrees): 6.6610 6.6610 12.1982 90.00 90.00 120.00
Last column: nearest neighbours and their distance in Å.
Positions (direct):
Tb 0.0000 0.0000 0.0000  6 N 2.39-2.53, 1 O 2.47
Tb 0.0000 0.0000 0.5000  6 N 2.39-2.53, 1 O 2.47
Tb 0.3333 0.6667 0.4697  6 N 2.45, 1 O 2.52
Tb 0.3333 0.6667 0.9697  6 N 2.45, 1 O 2.52
Tb 0.6667 0.3333 0.4697  6 N 2.45, 1 O 2.52
Tb 0.6667 0.3333 0.9697  6 N 2.45, 1 O 2.52
Bi 0.0000 0.3333 0.2341  2 N 2.04-2.05, 3 O 2.25
Bi 0.0000 0.6667 0.7341  2 N 2.04-2.05, 3 O 2.25
Bi 0.3333 0.0000 0.2341  2 N 2.04-2.05, 3 O 2.25
Bi 0.3333 0.3333 0.7341  2 N 2.04-2.05, 3 O 2.25
Bi 0.6667 0.0000 0.7341  2 N 2.04-2.05, 3 O 2.25
Bi 0.6667 0.6667 0.2341  2 N 2.04-2.05, 3 O 2.25
N 0.0000 0.3103 0.4018  1 Bi 2.05
N 0.0000 0.3589 0.0675  1 Bi 2.04
N 0.0000 0.6411 0.5675  1 Bi 2.04
N 0.0000 0.6897 0.9018  1 Bi 2.05
N 0.3103 0.0000 0.4018  1 Bi 2.05
N 0.3103 0.3103 0.9018  1 Bi 2.05
N 0.3589 0.0000 0.0675  1 Bi 2.04
N 0.3589 0.3589 0.5675  1 Bi 2.04
N 0.6411 0.0000 0.5675  1 Bi 2.04
N 0.6411 0.6411 0.0675  1 Bi 2.04
N 0.6897 0.0000 0.9018  1 Bi 2.05
N 0.6897 0.6897 0.4018  1 Bi 2.05
O 0.0000 0.0000 0.2021  3 Bi 2.25, 1 Tb 2.47
O 0.0000 0.0000 0.7021  3 Bi 2.25, 1 Tb 2.47
O 0.3333 0.6667 0.2629  3 Bi 2.25
O 0.3333 0.6667 0.7629  3 Bi 2.25
O 0.6667 0.3333 0.2629  3 Bi 2.25
O 0.6667 0.3333 0.7629  3 Bi 2.25


2.
First-principles (PBE) data for a relaxed ScNbTc2 crystal, as listed in OQMD via LeMat-Bulk.

## Properties
SG = Fm-3m, No. 225
calculated volume = 16.39 A^3/atom
energy of formation from the pure elements = -0.257 eV per atom
density = 8.455 Mg/m³
E above lowest polymorph = 0.22 kcal/mol of atoms
uncorrected energy = -9.5432 eV per atom
size of the total moment = 0.00 μB per cell

Lattice parameters (Å, degrees): 4.5263 4.5263 4.5263 60.00 60.00 60.00
Last column: nearest neighbours and their distance in Å.
Positions (direct):
Sc 0.0000 0.0000 0.0000  8 Tc 2.77
Nb 0.5000 0.5000 0.5000  8 Tc 2.77
Tc 0.2500 0.2500 0.2500  4 Nb 2.77, 4 Sc 2.77
Tc 0.7500 0.7500 0.7500  4 Nb 2.77, 4 Sc 2.77


3.
First-principles (PBE) data for a relaxed ScAuSO crystal, as listed in OQMD via LeMat-Bulk.

## Properties
SG = Pcca, No. 54
calculated volume = 16.04 A^3/atom
density = 7.505 Mg/m³
E above lowest polymorph = 3.16 kcal/mol of atoms
uncorrected energy = -6.3774 eV per atom
size of the total moment = 0.00 μB per cell

Lattice parameters (Å, degrees): 5.2281 9.1031 5.3923 90.00 90.00 90.00
Last column: nearest neighbours and their distance in Å.
Positions (direct):
Sc 0.0000 0.1092 0.2500  4 O 2.11-2.14
Sc 0.0000 0.8908 0.7500  4 O 2.11-2.14
Sc 0.5000 0.1092 0.7500  4 O 2.11-2.14
Sc 0.5000 0.8908 0.2500  4 O 2.11-2.14
Au 0.2500 0.5000 0.1630  2 S 2.49, 4 Au 2.70-2.78
Au 0.2500 0.5000 0.6630  2 S 2.49, 4 Au 2.70-2.78
Au 0.7500 0.5000 0.3370  2 S 2.49, 4 Au 2.70-2.78
Au 0.7500 0.5000 0.8370  2 S 2.49, 4 Au 2.70-2.78
S 0.0000 0.2735 0.7500  2 Au 2.49
S 0.0000 0.7265 0.2500  2 Au 2.49
S 0.5000 0.2735 0.2500  2 Au 2.49
S 0.5000 0.7265 0.7500  2 Au 2.49
O 0.2500 0.0000 0.0032  4 Sc 2.11-2.14
O 0.2500 0.0000 0.5032  4 Sc 2.11-2.14
O 0.7500 0.0000 0.4968  4 Sc 2.11-2.14
O 0.7500 0.0000 0.9968  4 Sc 2.11-2.14


4.
First-principles (PBE) data for a relaxed Ho3Tm2ScSb2Os crystal, as listed in OQMD via LeMat-Bulk.

## Properties
SG = Amm2, No. 38
calculated volume = 26.01 A^3/atom
density = 9.302 Mg/m³
uncorrected energy = -6.0086 eV per atom
size of the total moment = 0.04 μB per cell

Lattice parameters (Å, degrees): 4.1300 8.0707 8.0707 119.52 90.00 90.00
Last column: nearest neighbours and their distance in Å.
Positions (direct):
Ho 0.0000 0.0000 0.0000  2 Os 2.83, 2 Sb 3.12
Ho 0.0000 0.5179 0.7567  2 Os 2.84, 1 Sb 3.12
Ho 0.0000 0.7567 0.5179  2 Os 2.84, 1 Sb 3.12
Tm 0.5000 0.1506 0.7596  1 Os 3.15, 4 Sb 3.26, 4 Ho 3.44-3.47
Tm 0.5000 0.7596 0.1506  1 Os 3.15, 4 Sb 3.26, 4 Ho 3.44-3.47
Sc 0.5000 0.3703 0.3703  1 Os 3.18, 4 Sb 3.20, 4 Ho 3.43
Sb 0.0000 0.0975 0.4251  3 Ho 3.12-3.19, 2 Sc 3.20, 4 Tm 3.26
Sb 0.0000 0.4251 0.0975  3 Ho 3.12-3.19, 2 Sc 3.20, 4 Tm 3.26
Os 0.5000 0.7611 0.7611  6 Ho 2.83-2.84, 2 Tm 3.15


5.
First-principles (PBE) data for a relaxed CsHfAgS3 crystal, as listed in OQMD via LeMat-Bulk.

## Properties
SG = Pnma, No. 62
calculated volume = 25.55 A^3/atom
density = 5.584 Mg/m³
uncorrected energy = -5.4756 eV per atom
size of the total moment = 0.02 μB per cell

Lattice parameters (Å, degrees): 10.5268 3.8490 15.1314 90.00 90.00 90.00
Last column: nearest neighbours and their distance in Å.
Positions (direct):
Cs 0.0200 0.2500 0.1657  8 S 3.53-3.70, 4 Ag 3.83-3.93, 2 Cs 3.85
Cs 0.4800 0.7500 0.6657  8 S 3.53-3.70, 4 Ag 3.83-3.93, 2 Cs 3.85
Cs 0.5200 0.2500 0.3343  8 S 3.53-3.70, 4 Ag 3.83-3.93, 2 Cs 3.85
Cs 0.9800 0.7500 0.8343  8 S 3.53-3.70, 4 Ag 3.83-3.93, 2 Cs 3.85
Hf 0.1552 0.7500 0.4398  3 S 2.35-2.58
Hf 0.3448 0.2500 0.9398  3 S 2.35-2.58
Hf 0.6552 0.7500 0.0602  3 S 2.35-2.58
Hf 0.8448 0.2500 0.5602  3 S 2.35-2.58
Ag 0.1662 0.2500 0.6486  4 S 2.44-2.67
Ag 0.3338 0.7500 0.1486  4 S 2.44-2.67
Ag 0.6662 0.2500 0.8514  4 S 2.44-2.67
Ag 0.8338 0.7500 0.3514  4 S 2.44-2.67
S 0.0103 0.7500 0.5917  3 Hf 2.64-2.76, 2 Ag 2.67
S 0.2100 0.7500 0.0037  1 Ag 2.55, 2 Hf 2.58
S 0.2433 0.7500 0.2971  1 Hf 2.35, 1 Ag 2.44
S 0.2567 0.2500 0.7971  1 Hf 2.35, 1 Ag 2.44
S 0.2900 0.2500 0.5037  1 Ag 2.55, 2 Hf 2.58
S 0.4897 0.2500 0.0917  3 Hf 2.64-2.76, 2 Ag 2.67
S 0.5103 0.7500 0.9083  3 Hf 2.64-2.76, 2 Ag 2.67
S 0.7100 0.7500 0.4963  1 Ag 2.55, 2 Hf 2.58
S 0.7433 0.7500 0.2029  1 Hf 2.35, 1 Ag 2.44
S 0.7567 0.2500 0.7029  1 Hf 2.35, 1 Ag 2.44
S 0.7900 0.2500 0.9963  1 Ag 2.55, 2 Hf 2.58
S 0.9897 0.2500 0.4083  3 Hf 2.64-2.76, 2 Ag 2.67


6.
First-principles (PBE) data for a relaxed TaNbCuRe crystal, as listed in OQMD via LeMat-Bulk.

## Properties
SG = F-43m, No. 216
calculated volume = 15.75 A^3/atom
energy of formation from the pure elements = 0.185 eV per atom
density = 13.798 Mg/m³
E above lowest polymorph = 4.79 kcal/mol of atoms
uncorrected energy = -9.3364 eV per atom
size of the total moment = 0.00 μB per cell

Lattice parameters (Å, degrees): 4.4666 4.4666 4.4666 60.00 60.00 60.00
Last column: nearest neighbours and their distance in Å.
Positions (direct):
Ta 0.0000 0.0000 0.0000  4 Re 2.74, 4 Nb 2.74
Nb 0.2500 0.2500 0.2500  4 Cu 2.74, 4 Ta 2.74
Cu 0.5000 0.5000 0.5000  4 Re 2.74, 4 Nb 2.74
Re 0.7500 0.7500 0.7500  4 Cu 2.74, 4 Ta 2.74


7.
First-principles (PBE) data for a relaxed AcRe crystal, as listed in OQMD via LeMat-Bulk.

## Properties
SG = P-6m2, No. 187
calculated volume = 24.79 A^3/atom
energy of formation from the pure elements = 1.395 eV per atom
density = 13.840 Mg/m³
E above lowest polymorph = 20.00 kcal/mol of atoms
uncorrected energy = -6.8695 eV per atom
size of the total moment = 0.02 μB per cell

Lattice parameters (Å, degrees): 3.4790 3.4790 4.7296 90.00 90.00 120.00
Last column: nearest neighbours and their distance in Å.
Positions (direct):
Ac 0.0000 0.0000 0.0000  6 Re 3.10
Re 0.6667 0.3333 0.5000  6 Ac 3.10


8.
First-principles (PBE) data for a relaxed Na2Sn3Au crystal, as listed in OQMD via LeMat-Bulk.

## Properties
SG = P6_3/mmc, No. 194
calculated volume = 25.88 A^3/atom
density = 6.406 Mg/m³
uncorrected energy = -3.2655 eV per atom

Lattice parameters (Å, degrees): 9.7326 9.7326 7.5716 90.00 90.00 120.00
Last column: nearest neighbours and their distance in Å.
Positions (direct):
Na 0.0000 0.0000 0.2500  6 Sn 3.24
Na 0.0000 0.0000 0.7500  6 Sn 3.24
Na 0.0645 0.5323 0.2500  2 Au 3.15, 8 Sn 3.42-3.43
Na 0.4677 0.5323 0.2500  2 Au 3.15, 8 Sn 3.42-3.43
Na 0.4677 0.9355 0.2500  2 Au 3.15, 8 Sn 3.42-3.43
Na 0.5323 0.0645 0.7500  2 Au 3.15, 8 Sn 3.42-3.43
Na 0.5323 0.4677 0.7500  2 Au 3.15, 8 Sn 3.42-3.43
Na 0.9355 0.4677 0.7500  2 Au 3.15, 8 Sn 3.42-3.43
Sn 0.1708 0.3416 0.5528  1 Au 2.74, 3 Sn 2.99
Sn 0.1708 0.3416 0.9472  1 Au 2.74, 3 Sn 2.99
Sn 0.1708 0.8292 0.5528  1 Au 2.74, 3 Sn 2.99
Sn 0.1708 0.8292 0.9472  1 Au 2.74, 3 Sn 2.99
Sn 0.3416 0.1708 0.0528  1 Au 2.74, 3 Sn 2.99
Sn 0.3416 0.1708 0.4472  1 Au 2.74, 3 Sn 2.99
Sn 0.6584 0.8292 0.5528  1 Au 2.74, 3 Sn 2.99
Sn 0.6584 0.8292 0.9472  1 Au 2.74, 3 Sn 2.99
Sn 0.8292 0.1708 0.0528  1 Au 2.74, 3 Sn 2.99
Sn 0.8292 0.1708 0.4472  1 Au 2.74, 3 Sn 2.99
Sn 0.8292 0.6584 0.0528  1 Au 2.74, 3 Sn 2.99
Sn 0.8292 0.6584 0.4472  1 Au 2.74, 3 Sn 2.99
Au 0.3333 0.6667 0.5389  3 Sn 2.74
Au 0.3333 0.6667 0.9611  3 Sn 2.74
Au 0.6667 0.3333 0.0389  3 Sn 2.74
Au 0.6667 0.3333 0.4611  3 Sn 2.74